Entry 1:
Entry from Alexandria via LeMat-Bulk: an optimized crystal structure of Cu3SbS3 (GGA-PBEsol).

Cell: 8.5731 8.5731 8.5731 Å, 109.47 109.47 109.47°
Positions (direct):
Cu: 0.1816 0.1816 0.0000
Cu: 0.2500 0.7500 0.5000
Cu: 0.5000 0.2500 0.7500
Cu: 0.2500 0.5000 0.7500
Cu: 0.0000 0.1816 0.1816
Cu: 0.8184 0.8184 0.0000
Cu: 0.8184 0.0000 0.8184
Cu: 0.7500 0.2500 0.5000
Cu: 0.1816 0.0000 0.1816
Cu: 0.7500 0.5000 0.2500
Cu: 0.5000 0.7500 0.2500
Cu: 0.0000 0.8184 0.8184
Sb: 0.0000 0.0000 0.4472
Sb: 0.5528 0.5528 0.5528
Sb: 0.4472 0.0000 0.0000
Sb: 0.0000 0.4472 0.0000
S: 0.7790 0.2463 0.2463
S: 0.0000 0.5327 0.7537
S: 0.2210 0.4673 0.4673
S: 0.5327 0.7537 0.0000
S: 0.7537 0.0000 0.5327
S: 0.5327 0.0000 0.7537
S: 0.0000 0.7537 0.5327
S: 0.2463 0.2463 0.7790
S: 0.2463 0.7790 0.2463
S: 0.7537 0.5327 0.0000
S: 0.4673 0.4673 0.2210
S: 0.4673 0.2210 0.4673

Properties
* relative energy among the computed polymorphs: 0.006 eV per atom
* uncorrected energy: -128.55 eV per cell
* symmetry: I-43m, No. 217
* formation energy from raw total energies: -0.204 eV per atom

Entry 2:
Entry from Alexandria via LeMat-Bulk: an optimized crystal structure of DyNi2 (GGA-PBEsol).

Cell: 4.9720 4.9720 4.9720 Å, 60.00 60.00 60.00°
Positions (direct):
Dy: 0.7500 0.7500 0.7500
Dy: 0.5000 0.5000 0.5000
Ni: 0.1250 0.6250 0.1250
Ni: 0.1250 0.1250 0.6250
Ni: 0.1250 0.1250 0.1250
Ni: 0.6250 0.1250 0.1250

Properties
* uncorrected energy: -37.43 eV per cell
* symmetry: Fd-3m, No. 227

Entry 3:
Entry from Alexandria via LeMat-Bulk: an optimized crystal structure of Ba2TlFe (GGA-PBEsol).

Cell: 3.7522 3.7522 9.4154 Å, 90.00 90.00 90.00°
Positions (direct):
Ba: 0.0000 0.0000 0.9213
Ba: 0.5000 0.5000 0.3263
Fe: 0.0000 0.0000 0.5779
Tl: 0.5000 0.5000 0.6745

Properties
* uncorrected energy: -14.63 eV per cell
* symmetry: P4mm, No. 99

Entry 4:
Entry from Alexandria via LeMat-Bulk: an optimized crystal structure of CrIn2PdS (GGA-PBEsol).

Cell: 4.5602 5.1610 5.1610 Å, 90.00 90.00 90.00°
Positions (direct):
Cr: 0.5000 0.5000 0.5000
S: 0.5000 0.0000 0.0000
Pd: 0.0000 0.0000 0.0000
In: 0.0000 0.0000 0.5000
In: 0.0000 0.5000 0.0000

Properties
* uncorrected energy: -23.94 eV per cell
* symmetry: P4/mmm, No. 123
* formation energy from raw total energies: 0.523 eV per atom

Entry 5:
Entry from Alexandria via LeMat-Bulk: an optimized crystal structure of ZrGeSe (GGA-PBEsol).

Cell: 3.6862 3.6862 8.2378 Å, 90.00 90.00 90.00°
Positions (direct):
Ge: 0.0000 0.0000 0.0000
Ge: 0.5000 0.5000 0.0000
Se: 0.5000 0.0000 0.6199
Se: 0.0000 0.5000 0.3801
Zr: 0.0000 0.5000 0.7364
Zr: 0.5000 0.0000 0.2636

Properties
* uncorrected energy: -42.56 eV per cell
* symmetry: P4/nmm, No. 129
* formation energy from raw total energies: -1.134 eV per atom

Entry 6:
Entry from Alexandria via LeMat-Bulk: an optimized crystal structure of Li3Br (GGA-PBEsol).

Cell: 3.5411 3.5411 8.4426 Å, 90.00 90.00 120.00°
Positions (direct):
Br: 0.0000 0.0000 0.0000
Li: 0.0000 0.0000 0.5000
Li: 0.3333 0.6667 0.8057
Li: 0.3333 0.6667 0.1943

Properties
* relative energy among the computed polymorphs: 0.000 eV per atom
* uncorrected energy: -10.30 eV per cell
* symmetry: P-6m2, No. 187
* formation energy from raw total energies: -0.631 eV per atom

Entry 7:
Entry from Alexandria via LeMat-Bulk: an optimized crystal structure of CsRbC3 (GGA-PBEsol).

Cell: 5.6356 5.6356 5.6356 Å, 90.00 90.00 90.00°
Positions (direct):
Cs: 0.5000 0.5000 0.5000
C: 0.0000 0.5000 0.0000
C: 0.0000 0.0000 0.5000
C: 0.5000 0.0000 0.0000
Rb: 0.0000 0.0000 0.0000

Properties
* relative energy among the computed polymorphs: 0.000 eV per atom
* uncorrected energy: -13.38 eV per cell
* symmetry: Pm-3m, No. 221

Entry 8:
Entry from Alexandria via LeMat-Bulk: an optimized crystal structure of RbBe3Cu (GGA-PBEsol).

Cell: 5.4412 5.4412 5.4412 Å, 90.00 90.00 90.00°
Positions (direct):
Be: 0.0000 0.5000 0.0000
Be: 0.0000 0.0000 0.5000
Be: 0.5000 0.0000 0.0000
Cu: 0.5000 0.5000 0.5000
Rb: 0.0000 0.0000 0.0000

Properties
* uncorrected energy: -3.54 eV per cell
* symmetry: Pm-3m, No. 221

Entry 9:
Entry from Alexandria via LeMat-Bulk: an optimized crystal structure of TbSbIr (GGA-PBEsol).

Cell: 4.4888 7.0990 7.8248 Å, 90.00 90.00 90.00°
Positions (direct):
Sb: 0.2500 0.6780 0.5878
Sb: 0.7500 0.8220 0.0878
Sb: 0.7500 0.3220 0.4122
Sb: 0.2500 0.1780 0.9122
Ir: 0.7500 0.2085 0.0880
Ir: 0.7500 0.7085 0.4120
Ir: 0.2500 0.2915 0.5880
Ir: 0.2500 0.7915 0.9120
Tb: 0.2500 0.0111 0.3072
Tb: 0.7500 0.9889 0.6928
Tb: 0.2500 0.5111 0.1928
Tb: 0.7500 0.4889 0.8072

Properties
* uncorrected energy: -88.58 eV per cell
* symmetry: Pnma, No. 62
* formation energy from raw total energies: -0.918 eV per atom

Entry 10:
Entry from Alexandria via LeMat-Bulk: an optimized crystal structure of SrMnSb2I (GGA-PBEsol).

Cell: 5.0317 5.0317 5.8732 Å, 90.00 90.00 90.00°
Positions (direct):
I: 0.0000 0.0000 0.5000
Sb: 0.0000 0.5000 0.0000
Sb: 0.5000 0.0000 0.0000
Mn: 0.0000 0.0000 0.0000
Sr: 0.5000 0.5000 0.5000

Properties
* uncorrected energy: -23.73 eV per cell
* symmetry: P4/mmm, No. 123
* formation energy from raw total energies: -0.250 eV per atom

Entry 11:
Entry from Alexandria via LeMat-Bulk: an optimized crystal structure of TbHo3 (GGA-PBEsol).

Cell: 4.8803 4.8803 5.9791 Å, 114.09 114.09 90.00°
Positions (direct):
Tb: 0.0000 0.0000 0.0000
Ho: 0.2500 0.7500 0.5000
Ho: 0.7500 0.2500 0.5000
Ho: 0.5000 0.5000 0.0000

Properties
* uncorrected energy: -19.80 eV per cell
* symmetry: I4/mmm, No. 139

Entry 12:
Entry from Alexandria via LeMat-Bulk: an optimized crystal structure of ReP2PbS (GGA-PBEsol).

Cell: 4.5022 4.5022 5.1836 Å, 90.00 90.00 90.00°
Positions (direct):
Pb: 0.5000 0.5000 0.5000
Re: 0.0000 0.0000 0.0000
S: 0.0000 0.0000 0.5000
P: 0.0000 0.5000 0.0000
P: 0.5000 0.0000 0.0000

Properties
* uncorrected energy: -31.68 eV per cell
* symmetry: P4/mmm, No. 123
* formation energy from raw total energies: 0.324 eV per atom

Entry 13:
Entry from Alexandria via LeMat-Bulk: an optimized crystal structure of Li2ReAu (GGA-PBEsol).

Cell: 2.7065 2.7065 9.3185 Å, 81.65 81.65 60.00°
Positions (direct):
Au: 0.0000 0.0000 0.0000
Li: 0.2496 0.2496 0.2512
Li: 0.7504 0.7504 0.7488
Re: 0.5000 0.5000 0.5000

Properties
* relative energy among the computed polymorphs: 0.000 eV per atom
* uncorrected energy: -21.12 eV per cell
* symmetry: R-3m, No. 166

Entry 14:
Entry from Alexandria via LeMat-Bulk: an optimized crystal structure of TlCrIr (GGA-PBEsol).

Cell: 2.9713 4.3721 4.3721 Å, 120.00 90.00 90.00°
Positions (direct):
Cr: 0.8335 0.0000 0.0000
Ir: 0.8333 0.3333 0.6667
Tl: 0.3332 0.6667 0.3333

Properties
* relative energy among the computed polymorphs: 0.000 eV per atom
* uncorrected energy: -20.88 eV per cell
* symmetry: P-6m2, No. 187

Entry 15:
Entry from Alexandria via LeMat-Bulk: an optimized crystal structure of NbAs2CBr (GGA-PBEsol).

Cell: 4.2232 4.2232 4.5131 Å, 90.00 90.00 90.00°
Positions (direct):
C: 0.0000 0.0000 0.0000
Nb: 0.5000 0.5000 0.5000
As: 0.0000 0.5000 0.0000
As: 0.5000 0.0000 0.0000
Br: 0.0000 0.0000 0.5000

Properties
* uncorrected energy: -26.96 eV per cell
* symmetry: P4/mmm, No. 123
* formation energy from raw total energies: 1.117 eV per atom

Entry 16:
Entry from Alexandria via LeMat-Bulk: an optimized crystal structure of Zr2CdHg (GGA-PBEsol).

Cell: 3.0460 4.2753 6.2796 Å, 90.00 90.00 90.00°
Positions (direct):
Hg: 0.5000 0.5000 0.5000
Zr: 0.0000 0.0000 0.7487
Zr: 0.0000 0.0000 0.2513
Cd: 0.5000 0.5000 0.0000

Properties
* relative energy among the computed polymorphs: 0.001 eV per atom
* uncorrected energy: -20.85 eV per cell
* symmetry: Pmmm, No. 47

Entry 17:
Entry from Alexandria via LeMat-Bulk: an optimized crystal structure of NiHgCl2 (GGA-PBEsol).

Cell: 3.1239 3.5799 9.0643 Å, 90.00 90.00 115.87°
Positions (direct):
Ni: 0.5000 0.0000 0.0000
Hg: 0.5000 0.0000 0.5000
Cl: 0.0000 0.0000 0.8362
Cl: 0.0000 0.0000 0.1638

Properties
* relative energy among the computed polymorphs: 0.094 eV per atom
* uncorrected energy: -11.91 eV per cell
* symmetry: Cmmm, No. 65
* formation energy from raw total energies: -0.292 eV per atom

Entry 18:
Entry from Alexandria via LeMat-Bulk: an optimized crystal structure of AlSI3 (GGA-PBEsol).

Cell: 5.4819 5.4819 5.4819 Å, 90.00 90.00 90.00°
Positions (direct):
I: 0.0000 0.5000 0.0000
I: 0.0000 0.0000 0.5000
I: 0.5000 0.0000 0.0000
S: 0.0000 0.0000 0.0000
Al: 0.5000 0.5000 0.5000

Properties
* uncorrected energy: -12.60 eV per cell
* symmetry: Pm-3m, No. 221
* formation energy from raw total energies: 0.235 eV per atom

Entry 19:
Entry from Alexandria via LeMat-Bulk: an optimized crystal structure of LaSc2GeP (GGA-PBEsol).

Cell: 5.1596 5.1596 5.1983 Å, 90.00 90.00 90.00°
Positions (direct):
Sc: 0.0000 0.5000 0.0000
Sc: 0.5000 0.0000 0.0000
P: 0.5000 0.5000 0.5000
Ge: 0.0000 0.0000 0.5000
La: 0.0000 0.0000 0.0000

Properties
* uncorrected energy: -23.12 eV per cell
* symmetry: P4/mmm, No. 123

Entry 20:
Entry from Alexandria via LeMat-Bulk: an optimized crystal structure of Y4ScSi10 (GGA-PBEsol).

Cell: 4.0626 4.0626 19.0097 Å, 90.00 90.00 120.00°
Positions (direct):
Y: 0.0000 0.0000 0.1930
Y: 0.0000 0.0000 0.3983
Y: 0.0000 0.0000 0.6017
Y: 0.0000 0.0000 0.8070
Sc: 0.0000 0.0000 0.0000
Si: 0.6667 0.3333 0.0910
Si: 0.6667 0.3333 0.2957
Si: 0.6667 0.3333 0.5000
Si: 0.6667 0.3333 0.7043
Si: 0.6667 0.3333 0.9090
Si: 0.3333 0.6667 0.0910
Si: 0.3333 0.6667 0.2957
Si: 0.3333 0.6667 0.5000
Si: 0.3333 0.6667 0.7043
Si: 0.3333 0.6667 0.9090

Properties
* uncorrected energy: -100.16 eV per cell
* symmetry: P6/mmm, No. 191
* formation energy from raw total energies: -0.587 eV per atom

Entry 21:
Entry from Alexandria via LeMat-Bulk: an optimized crystal structure of SrRe2Te (GGA-PBEsol).

Cell: 3.9847 3.9847 5.8004 Å, 110.09 110.09 90.00°
Positions (direct):
Re: 0.7500 0.2500 0.5000
Re: 0.2500 0.7500 0.5000
Sr: 0.5000 0.5000 0.0000
Te: 0.0000 0.0000 0.0000

Properties
* uncorrected energy: -27.74 eV per cell
* symmetry: I4/mmm, No. 139
* formation energy from raw total energies: 1.073 eV per atom

Entry 22:
Entry from Alexandria via LeMat-Bulk: an optimized crystal structure of IrOsPdF2 (GGA-PBEsol).

Cell: 3.8941 3.8941 4.9926 Å, 90.00 90.00 90.00°
Positions (direct):
Ir: 0.0000 0.0000 0.0000
Os: 0.0000 0.0000 0.5000
Pd: 0.5000 0.5000 0.5000
F: 0.0000 0.5000 0.0000
F: 0.5000 0.0000 0.0000

Properties
* uncorrected energy: -29.20 eV per cell
* symmetry: P4/mmm, No. 123
* formation energy from raw total energies: 0.531 eV per atom

Entry 23:
Entry from Alexandria via LeMat-Bulk: an optimized crystal structure of TaCdBi2O (GGA-PBEsol).

Cell: 5.2312 5.4483 5.4483 Å, 90.00 90.00 90.00°
Positions (direct):
Cd: 0.0000 0.0000 0.0000
Bi: 0.0000 0.0000 0.5000
Bi: 0.0000 0.5000 0.0000
O: 0.5000 0.5000 0.5000
Ta: 0.5000 0.0000 0.0000

Properties
* uncorrected energy: -18.00 eV per cell
* symmetry: P4/mmm, No. 123
* formation energy from raw total energies: 1.913 eV per atom

Entry 24:
Entry from Alexandria via LeMat-Bulk: an optimized crystal structure of Rb2NbCuS4 (GGA-PBEsol).

Cell: 5.5231 7.2373 12.1230 Å, 85.01 76.83 67.57°
Positions (direct):
Rb: 0.3219 0.0000 0.3562
Rb: 0.6781 0.0000 0.6438
Rb: 0.4281 0.5000 0.1438
Rb: 0.0719 0.5000 0.8562
S: 0.4050 0.8041 0.8907
S: 0.0998 0.1959 0.1093
S: 0.7909 0.8041 0.1093
S: 0.7043 0.1959 0.8907
S: 0.0457 0.3041 0.6093
S: 0.6502 0.3041 0.3907
S: 0.9591 0.6959 0.3907
S: 0.3450 0.6959 0.6093
Nb: 0.2500 0.5000 0.5000
Nb: 0.5000 0.0000 0.0000
Cu: 0.7500 0.5000 0.5000
Cu: 0.0000 0.0000 0.0000

Properties
* uncorrected energy: -86.41 eV per cell
* symmetry: Fddd, No. 70
* formation energy from raw total energies: -1.058 eV per atom

Entry 25:
Entry from Alexandria via LeMat-Bulk: an optimized crystal structure of ThBiAu2 (GGA-PBEsol).

Cell: 5.0985 5.0985 5.0985 Å, 60.00 60.00 60.00°
Positions (direct):
Au: 0.2500 0.2500 0.2500
Au: 0.7500 0.7500 0.7500
Bi: 0.0000 0.0000 0.0000
Th: 0.5000 0.5000 0.5000

Properties
* uncorrected energy: -22.42 eV per cell
* symmetry: Fm-3m, No. 225

Entry 26:
Entry from Alexandria via LeMat-Bulk: an optimized crystal structure of ScMo2Ir (GGA-PBEsol).

Cell: 2.7673 5.1360 5.2181 Å, 115.67 98.96 102.85°
Positions (direct):
Ir: 0.0000 0.5000 0.0000
Mo: 0.0000 0.0000 0.5000
Mo: 0.5000 0.5000 0.5000
Sc: 0.5000 0.0000 0.0000

Properties
* relative energy among the computed polymorphs: 0.000 eV per atom
* uncorrected energy: -40.44 eV per cell
* symmetry: C2/m, No. 12